(1)
Computed, not measured: a geometry-optimized NpMnTc structure at the PBE-GGA level of DFT.

Lattice parameters (Å, degrees): 4.5823 4.5823 4.5823 133.64 133.64 67.65
Closest atoms and distances in Å follow each position.
Fractional positions:
Np 0.0000 0.0000 0.0000  1 Mn 2.24, 1 Tc 2.40
Mn 0.2947 0.2947 0.0000  1 Np 2.24
Tc 0.6844 0.6844 0.0000  1 Np 2.40, 4 Mn 2.69

Computed properties:
**Distance to the lowest polymorph of the same formula**: 0 meV per atom
**Space group**: No. 107
**Calculated total energy**: -10.59 eV/atom
**Energy of formation**: 235 meV/atom


(2)
Computed, not measured: a geometry-optimized La2RuPtC structure at the PBE-GGA level of DFT.

Lattice parameters (Å, degrees): 5.2859 5.2859 3.8727 90.00 90.00 90.00
Closest atoms and distances in Å follow each position.
Fractional positions:
La 0.0000 0.5000 0.0000  2 C 2.64
La 0.5000 0.0000 0.0000  2 C 2.64
Ru 0.0000 0.0000 0.5000  2 C 1.94
Pt 0.5000 0.5000 0.5000  8 La 3.28
C 0.0000 0.0000 0.0000  2 Ru 1.94

Computed properties:
**Space group**: No. 123
**Calculated total energy**: -7.37 eV/atom
**Energy of formation**: -496 meV/atom


(3)
Computed, not measured: a geometry-optimized Rb3Ac3YS8 structure at the PBE-GGA level of DFT.

Lattice parameters (Å, degrees): 9.2855 9.2855 9.2855 56.28 56.28 56.28
Closest atoms and distances in Å follow each position.
Fractional positions:
Rb 0.0000 0.5000 0.5000  6 S 3.42-3.44
Rb 0.5000 0.0000 0.5000  6 S 3.42-3.44
Rb 0.5000 0.5000 0.0000  6 S 3.42-3.44
Ac 0.0000 0.0000 0.5000  6 S 2.99-3.00
Ac 0.0000 0.5000 0.0000  6 S 2.99-3.00
Ac 0.5000 0.0000 0.0000  6 S 2.99-3.00
Y 0.5000 0.5000 0.5000  6 S 2.79
S 0.2348 0.2348 0.2348  3 Ac 2.99
S 0.2515 0.7189 0.7189  1 Y 2.79, 2 Ac 3.00
S 0.2811 0.2811 0.7485  1 Y 2.79, 2 Ac 3.00
S 0.2811 0.7485 0.2811  1 Y 2.79, 2 Ac 3.00
S 0.7189 0.2515 0.7189  1 Y 2.79, 2 Ac 3.00
S 0.7189 0.7189 0.2515  1 Y 2.79, 2 Ac 3.00
S 0.7485 0.2811 0.2811  1 Y 2.79, 2 Ac 3.00
S 0.7652 0.7652 0.7652  3 Ac 2.99

Computed properties:
**Space group**: No. 166
**Calculated total energy**: -5.42 eV/atom
**Raw formation energy**: -1769 meV/atom


(4)
Computed, not measured: a geometry-optimized TiHgSe3 structure at the PBE-GGA level of DFT.

Lattice parameters (Å, degrees): 4.9906 4.9906 4.9906 90.00 90.00 90.00
Closest atoms and distances in Å follow each position.
Fractional positions:
Ti 0.0000 0.0000 0.0000  6 Se 2.50
Hg 0.5000 0.5000 0.5000  12 Se 3.53
Se 0.0000 0.0000 0.5000  2 Ti 2.50
Se 0.0000 0.5000 0.0000  2 Ti 2.50
Se 0.5000 0.0000 0.0000  2 Ti 2.50

Computed properties:
**Distance to the lowest polymorph of the same formula**: 0 meV per atom
**Space group**: No. 221
**Calculated total energy**: -4.04 eV/atom
**Raw formation energy**: -312 meV/atom